Entry 1:
This record from Alexandria describes crystalline CsSnPd2 at its relaxed geometry. The functional is PBE.

## Properties
ΔH_f (0 K) ... -0.368 eV/atom
DOS at the Fermi energy ... 0.53 states/eV per atom
Crystal system ... trigonal
Density ... 6.2 g/cm3

The structure in CIF format:
```
data_CsSnPd2
_chemical_formula_sum 'Cs3 Sn3 Pd6'
_symmetry_space_group_name_H-M 'R -3 m'
_symmetry_Int_Tables_number 166
_symmetry_space_group_name_Hall '-R 3 2"'
_cell_length_a 4.6555
_cell_length_b 4.6555
_cell_length_c 19.7238
_cell_angle_alpha 90.00
_cell_angle_beta 90.00
_cell_angle_gamma 120.00
loop_
_atom_site_label
_atom_site_type_symbol
_atom_site_fract_x
_atom_site_fract_y
_atom_site_fract_z
_atom_site_occupancy
Cs1 Cs 0.0000 0.0000 0.0000 1
Sn1 Sn 0.0000 0.0000 0.5000 1
Pd1 Pd 0.0000 0.0000 0.1850 1
```

Entry 2:
This record from Alexandria describes crystalline Cs2SnPd at its relaxed geometry. The functional is PBE.

## Properties
ΔH_f (0 K) ... -0.110 eV/atom
DOS at the Fermi energy ... 1.08 states/eV per atom
Crystal system ... tetragonal
Density ... 3.6 g/cm3

The structure in CIF format:
```
data_Cs2SnPd
_chemical_formula_sum 'Cs8 Sn4 Pd4'
_symmetry_space_group_name_H-M 'I -4 2 d'
_symmetry_Int_Tables_number 122
_symmetry_space_group_name_Hall 'I -4 2bw'
_cell_length_a 13.314
_cell_length_b 13.314
_cell_length_c 5.136
_cell_angle_alpha 90.00
_cell_angle_beta 90.00
_cell_angle_gamma 90.00
loop_
_atom_site_label
_atom_site_type_symbol
_atom_site_fract_x
_atom_site_fract_y
_atom_site_fract_z
_atom_site_occupancy
Cs1 Cs 0.076 0.250 0.125 1
Sn1 Sn 0.000 0.000 0.500 1
Pd1 Pd 0.000 0.000 0.000 1
```

Entry 3:
This record from Alexandria describes crystalline Cs2SnPd4 at its relaxed geometry. The functional is PBE.

## Properties
ΔH_f (0 K) ... 0.220 eV/atom
DOS at the Fermi energy ... 0.69 states/eV per atom
Crystal system ... tetragonal
Density ... 6.1 g/cm3

The structure in CIF format:
```
data_Cs2SnPd4
_chemical_formula_sum 'Cs4 Sn2 Pd8'
_symmetry_space_group_name_H-M 'I 4/m m m'
_symmetry_Int_Tables_number 139
_symmetry_space_group_name_Hall '-I 4 2'
_cell_length_a 5.193
_cell_length_b 5.193
_cell_length_c 16.401
_cell_angle_alpha 90.00
_cell_angle_beta 90.00
_cell_angle_gamma 90.00
loop_
_atom_site_label
_atom_site_type_symbol
_atom_site_fract_x
_atom_site_fract_y
_atom_site_fract_z
_atom_site_occupancy
Cs1 Cs 0.000 0.000 0.156 1
Sn1 Sn 0.000 0.000 0.500 1
Pd1 Pd 0.000 0.000 0.346 1
Pd2 Pd 0.000 0.500 0.000 1
```

Entry 4:
This record from Alexandria describes crystalline CsSnPd at its relaxed geometry. The functional is PBE.

## Properties
ΔH_f (0 K) ... -0.398 eV/atom
DOS at the Fermi energy ... 0.22 states/eV per atom
Polymorph energy (0 for the lowest one) ... 0 meV/atom
Crystal system ... orthorhombic
Density ... 5.6 g/cm3

The structure in CIF format:
```
data_CsSnPd
_chemical_formula_sum 'Cs4 Sn4 Pd4'
_symmetry_space_group_name_H-M 'P 21 21 21'
_symmetry_Int_Tables_number 19
_cell_length_a 4.824
_cell_length_b 5.051
_cell_length_c 17.355
_cell_angle_alpha 90.00
_cell_angle_beta 90.00
_cell_angle_gamma 90.00
loop_
_symmetry_equiv_pos_as_xyz
'x,y,z'
'-x+1/2,-y,z+1/2'
'x+1/2,-y+1/2,-z'
'-x,y+1/2,-z+1/2'
loop_
_atom_site_label
_atom_site_type_symbol
_atom_site_fract_x
_atom_site_fract_y
_atom_site_fract_z
_atom_site_occupancy
Cs1 Cs 0.246 0.048 0.167 1
Sn1 Sn 0.245 0.934 0.941 1
Pd1 Pd 0.245 0.431 0.001 1
```

Entry 5:
This record from Alexandria describes crystalline CsSnPd2 at its relaxed geometry. The functional is PBE.

## Properties
ΔH_f (0 K) ... 0.047 eV/atom
DOS at the Fermi energy ... 0.37 states/eV per atom
Crystal system ... tetragonal
Density ... 6.0 g/cm3

The structure in CIF format:
```
data_CsSnPd2
_chemical_formula_sum 'Cs4 Sn4 Pd8'
_symmetry_space_group_name_H-M 'I -4 2 d'
_symmetry_Int_Tables_number 122
_symmetry_space_group_name_Hall 'I -4 2bw'
_cell_length_a 8.069
_cell_length_b 8.069
_cell_length_c 7.908
_cell_angle_alpha 90.00
_cell_angle_beta 90.00
_cell_angle_gamma 90.00
loop_
_atom_site_label
_atom_site_type_symbol
_atom_site_fract_x
_atom_site_fract_y
_atom_site_fract_z
_atom_site_occupancy
Cs1 Cs 0.000 0.000 0.000 1
Sn1 Sn 0.000 0.000 0.500 1
Pd1 Pd 0.158 0.250 0.625 1
```

Entry 6:
This record from Alexandria describes crystalline CsSnPd at its relaxed geometry. The functional is PBE.

## Properties
ΔH_f (0 K) ... -0.377 eV/atom
DOS at the Fermi energy ... 0.39 states/eV per atom
Polymorph energy (0 for the lowest one) ... 21 meV/atom
Crystal system ... tetragonal
Density ... 5.6 g/cm3

The structure in CIF format:
```
data_CsSnPd
_chemical_formula_sum 'Cs2 Sn2 Pd2'
_symmetry_space_group_name_H-M 'P 4/n m m'
_symmetry_Int_Tables_number 129
_cell_length_a 4.965
_cell_length_b 4.965
_cell_length_c 8.612
_cell_angle_alpha 90.00
_cell_angle_beta 90.00
_cell_angle_gamma 90.00
loop_
_symmetry_equiv_pos_as_xyz
'x,y,z'
'-x,-y,-z'
'-y+1/2,x,z'
'y+1/2,-x,-z'
'-x+1/2,-y+1/2,z'
'x+1/2,y+1/2,-z'
'y,-x+1/2,z'
'-y,x+1/2,-z'
'x+1/2,-y,-z'
'-x+1/2,y,z'
'-y,-x,-z'
'y,x,z'
'-x,y+1/2,-z'
'x,-y+1/2,z'
'y+1/2,x+1/2,-z'
'-y+1/2,-x+1/2,z'
loop_
_atom_site_label
_atom_site_type_symbol
_atom_site_fract_x
_atom_site_fract_y
_atom_site_fract_z
_atom_site_occupancy
Cs1 Cs 0.250 0.250 0.165 1
Sn1 Sn 0.250 0.250 0.625 1
Pd1 Pd 0.250 0.750 0.500 1
```

Entry 7:
This record from Alexandria describes crystalline CsSnPd at its relaxed geometry. The functional is PBE.

## Properties
ΔH_f (0 K) ... -0.187 eV/atom
DOS at the Fermi energy ... 1.10 states/eV per atom
Polymorph energy (0 for the lowest one) ... 211 meV/atom
Crystal system ... hexagonal
Density ... 5.4 g/cm3

The structure in CIF format:
```
data_CsSnPd
_chemical_formula_sum 'Cs1 Sn1 Pd1'
_symmetry_space_group_name_H-M 'P -6 m 2'
_symmetry_Int_Tables_number 187
_symmetry_space_group_name_Hall 'P -6 2'
_cell_length_a 4.5455
_cell_length_b 4.5455
_cell_length_c 6.2101
_cell_angle_alpha 90.00
_cell_angle_beta 90.00
_cell_angle_gamma 120.00
loop_
_atom_site_label
_atom_site_type_symbol
_atom_site_fract_x
_atom_site_fract_y
_atom_site_fract_z
_atom_site_occupancy
Cs1 Cs 0.0000 0.0000 0.0000 1
Sn1 Sn 0.6667 0.3333 0.5000 1
Pd1 Pd 0.3333 0.6667 0.5000 1
```

Entry 8:
This record from Alexandria describes crystalline CsSr2SnPd at its relaxed geometry. The functional is PBE.

## Properties
ΔH_f (0 K) ... -0.302 eV/atom
DOS at the Fermi energy ... 0.74 states/eV per atom
Crystal system ... tetragonal
Density ... 4.5 g/cm3

The structure in CIF format:
```
data_CsSr2SnPd
_chemical_formula_sum 'Cs1 Sr2 Sn1 Pd1'
_symmetry_space_group_name_H-M 'P 4/m m m'
_symmetry_Int_Tables_number 123
_symmetry_space_group_name_Hall '-P 4 2'
_cell_length_a 6.070
_cell_length_b 6.070
_cell_length_c 5.297
_cell_angle_alpha 90.00
_cell_angle_beta 90.00
_cell_angle_gamma 90.00
loop_
_atom_site_label
_atom_site_type_symbol
_atom_site_fract_x
_atom_site_fract_y
_atom_site_fract_z
_atom_site_occupancy
Cs1 Cs 0.000 0.000 0.000 1
Sr1 Sr 0.000 0.500 0.500 1
Sn1 Sn 0.500 0.500 0.000 1
Pd1 Pd 0.500 0.500 0.500 1
```

Entry 9:
This record from Alexandria describes crystalline Cs2SnTe4Pd at its relaxed geometry. The functional is PBE.

## Properties
DFT total energy ... -3.48 eV per atom
Crystal system ... orthorhombic
Density ... 4.8 g/cm3

The structure in CIF format:
```
data_Cs2SnTe4Pd
_chemical_formula_sum 'Cs16 Sn8 Te32 Pd8'
_symmetry_space_group_name_H-M 'F d d d'
_symmetry_Int_Tables_number 70
_cell_length_a 7.790
_cell_length_b 13.085
_cell_length_c 27.370
_cell_angle_alpha 90.00
_cell_angle_beta 90.00
_cell_angle_gamma 90.00
loop_
_symmetry_equiv_pos_as_xyz
'x,y,z'
'-x,-y,-z'
'-x+1/4,-y+1/4,z'
'x+1/4,y+1/4,-z'
'x,-y+1/4,-z+1/4'
'-x,y+1/4,z+1/4'
'-x+1/4,y,-z+1/4'
'x+1/4,-y,z+1/4'
'x,y+1/2,z+1/2'
'-x,-y+1/2,-z+1/2'
'-x+1/4,-y+3/4,z+1/2'
'x+1/4,y+3/4,-z+1/2'
'x,-y+3/4,-z+3/4'
'-x,y+3/4,z+3/4'
'-x+1/4,y+1/2,-z+3/4'
'x+1/4,-y+1/2,z+3/4'
'x+1/2,y,z+1/2'
'-x+1/2,-y,-z+1/2'
'-x+3/4,-y+1/4,z+1/2'
'x+3/4,y+1/4,-z+1/2'
'x+1/2,-y+1/4,-z+3/4'
'-x+1/2,y+1/4,z+3/4'
'-x+3/4,y,-z+3/4'
'x+3/4,-y,z+3/4'
'x+1/2,y+1/2,z'
'-x+1/2,-y+1/2,-z'
'-x+3/4,-y+3/4,z'
'x+3/4,y+3/4,-z'
'x+1/2,-y+3/4,-z+1/4'
'-x+1/2,y+3/4,z+1/4'
'-x+3/4,y+1/2,-z+1/4'
'x+3/4,-y+1/2,z+1/4'
loop_
_atom_site_label
_atom_site_type_symbol
_atom_site_fract_x
_atom_site_fract_y
_atom_site_fract_z
_atom_site_occupancy
Cs1 Cs 0.125 0.125 0.315 1
Sn1 Sn 0.125 0.125 0.625 1
Te1 Te 0.110 0.310 0.438 1
Pd1 Pd 0.125 0.125 0.125 1
```

Entry 10:
This record from Alexandria describes crystalline CsTiSnPd2 at its relaxed geometry. The functional is PBE.

## Properties
ΔH_f (0 K) ... 0.377 eV/atom
DOS at the Fermi energy ... 1.16 states/eV per atom
Crystal system ... tetragonal
Density ... 6.1 g/cm3

The structure in CIF format:
```
data_CsTiSnPd2
_chemical_formula_sum 'Cs1 Ti1 Sn1 Pd2'
_symmetry_space_group_name_H-M 'P 4/m m m'
_symmetry_Int_Tables_number 123
_symmetry_space_group_name_Hall '-P 4 2'
_cell_length_a 5.056
_cell_length_b 5.056
_cell_length_c 5.456
_cell_angle_alpha 90.00
_cell_angle_beta 90.00
_cell_angle_gamma 90.00
loop_
_atom_site_label
_atom_site_type_symbol
_atom_site_fract_x
_atom_site_fract_y
_atom_site_fract_z
_atom_site_occupancy
Cs1 Cs 0.000 0.000 0.000 1
Ti1 Ti 0.500 0.500 0.500 1
Sn1 Sn 0.500 0.500 0.000 1
Pd1 Pd 0.000 0.500 0.500 1
```

Entry 11:
This record from Alexandria describes crystalline CsY2SnPd at its relaxed geometry. The functional is PBE.

## Properties
ΔH_f (0 K) ... 1.102 eV/atom
DOS at the Fermi energy ... 0.88 states/eV per atom
Crystal system ... tetragonal
Density ... 5.5 g/cm3

The structure in CIF format:
```
data_CsY2SnPd
_chemical_formula_sum 'Cs1 Y2 Sn1 Pd1'
_symmetry_space_group_name_H-M 'P 4/m m m'
_symmetry_Int_Tables_number 123
_symmetry_space_group_name_Hall '-P 4 2'
_cell_length_a 5.640
_cell_length_b 5.640
_cell_length_c 5.058
_cell_angle_alpha 90.00
_cell_angle_beta 90.00
_cell_angle_gamma 90.00
loop_
_atom_site_label
_atom_site_type_symbol
_atom_site_fract_x
_atom_site_fract_y
_atom_site_fract_z
_atom_site_occupancy
Cs1 Cs 0.000 0.000 0.000 1
Y1 Y 0.000 0.500 0.000 1
Sn1 Sn 0.500 0.500 0.500 1
Pd1 Pd 0.000 0.000 0.500 1
```

Entry 12:
This record from Alexandria describes crystalline CsSrPd2 at its relaxed geometry. The functional is PBE.

## Properties
ΔH_f (0 K) ... 0.085 eV/atom
DOS at the Fermi energy ... 2.11 states/eV per atom
Crystal system ... cubic
Density ... 6.1 g/cm3

The structure in CIF format:
```
data_CsSrPd2
_chemical_formula_sum 'Cs4 Sr4 Pd8'
_symmetry_space_group_name_H-M 'F m -3 m'
_symmetry_Int_Tables_number 225
_symmetry_space_group_name_Hall '-F 4 2 3'
_cell_length_a 7.786
_cell_length_b 7.786
_cell_length_c 7.786
_cell_angle_alpha 90.00
_cell_angle_beta 90.00
_cell_angle_gamma 90.00
loop_
_atom_site_label
_atom_site_type_symbol
_atom_site_fract_x
_atom_site_fract_y
_atom_site_fract_z
_atom_site_occupancy
Cs1 Cs 0.000 0.000 0.000 1
Sr1 Sr 0.000 0.000 0.500 1
Pd1 Pd 0.250 0.250 0.250 1
```